! MnP2Cl (PBE, optimized geometry); values from VASP
&SYSTEM
  ibrav = 0, nat = 4, ntyp = 3
/
ATOMIC_SPECIES
Mn 54.94 Mn.upf
P 30.97 P.upf
Cl 35.45 Cl.upf
CELL_PARAMETERS angstrom
2.611 -3.634 0.000
2.611 3.634 0.000
-2.601 0.000 3.634
ATOMIC_POSITIONS crystal
Mn 0.000 0.000 0.000
P 0.000 0.500 0.500
P 0.500 0.000 0.500
Cl 0.500 0.500 0.000
! - Calculated volume: 68.9 Å³ per cell
! - Density: 3669 kg/m³
! - Formation energy from raw total energies: 0.31 eV/atom
! - Magnetic moment: 4.14 Bohr magnetons per cell

---

! MnP2Cl (PBE, optimized geometry); values from VASP
&SYSTEM
  ibrav = 0, nat = 4, ntyp = 3
/
ATOMIC_SPECIES
Mn 54.94 Mn.upf
P 30.97 P.upf
Cl 35.45 Cl.upf
CELL_PARAMETERS angstrom
1.700 0.981 8.513
-1.700 0.981 8.513
0.000 -1.963 8.513
ATOMIC_POSITIONS crystal
Mn 0.000 0.000 0.000
P 0.263 0.263 0.263
P 0.549 0.549 0.549
Cl 0.724 0.724 0.724
! - Calculated volume: 85.2 Å³ per cell
! - Density: 2969 kg/m³
! - Formation energy from raw total energies: -0.16 eV/atom
! - Magnetic moment: 4.62 Bohr magnetons per cell

---

! Mn2PCl (PBE, optimized geometry); values from VASP
&SYSTEM
  ibrav = 0, nat = 4, ntyp = 3
/
ATOMIC_SPECIES
Mn 54.94 Mn.upf
P 30.97 P.upf
Cl 35.45 Cl.upf
CELL_PARAMETERS angstrom
-1.695 3.370 3.567
1.695 -3.370 3.567
1.695 3.370 -3.567
ATOMIC_POSITIONS crystal
Mn 0.229 0.229 0.000
Mn 0.771 0.771 0.000
P 0.000 0.500 0.500
Cl 0.500 0.000 0.500
! - Calculated volume: 81.5 Å³ per cell
! - Density: 3592 kg/m³
! - Formation energy from raw total energies: 0.07 eV/atom
! - Magnetic moment: 8.55 Bohr magnetons per cell

---

! MnP2Cl (PBE, optimized geometry); values from VASP
&SYSTEM
  ibrav = 0, nat = 4, ntyp = 3
/
ATOMIC_SPECIES
Mn 54.94 Mn.upf
P 30.97 P.upf
Cl 35.45 Cl.upf
CELL_PARAMETERS angstrom
2.827 0.000 0.000
0.000 2.827 0.000
0.000 0.000 8.106
ATOMIC_POSITIONS crystal
Mn 0.000 0.000 0.000
P 0.500 0.500 0.161
P 0.500 0.500 0.839
Cl 0.000 0.000 0.500
! - Calculated volume: 64.8 Å³ per cell
! - Density: 3904 kg/m³
! - Formation energy from raw total energies: 0.07 eV/atom
! - Magnetic moment: 0.01 Bohr magnetons per cell

---

| no. | E_tot (eV per atom) | density of states at the Fermi level (states/eV per cell) |
| --- | --- | --- |
| 1 | -5.1514 | 2.62 |
| 2 | -5.6207 | 3.00 |
| 3 | -6.3296 | 2.85 |
| 4 | -5.3867 | 2.39 |